Entry 1:
The following is a PBE-GGA calculation of an optimized crystal structure of Ce2Dy3ErSe6, from Alexandria via LeMat-Bulk.

Lattice parameters (Å, degrees): 7.1058 7.1058 7.1518 99.57 99.57 120.09
Last column: magnetic moment on the atom in μB.
Positions (direct):
Dy 0.1686 0.8314 0.5000  0.00
Er 0.0000 0.0000 0.0000  0.04
Se 0.7606 0.7606 0.2577  -0.01
Ce 0.3338 0.6662 0.0000  0.77
Se 0.5892 0.9151 0.7443  -0.01
Se 0.2394 0.2394 0.7423  -0.01
Ce 0.6662 0.3338 0.0000  0.77
Se 0.4108 0.0849 0.2557  -0.01
Dy 0.8314 0.1686 0.5000  0.00
Dy 0.5000 0.5000 0.5000  0.00
Se 0.9151 0.5892 0.7443  -0.01
Se 0.0849 0.4108 0.2557  -0.01

Calculated values
DOS(E_F)   14.302 states/eV/cell
Formation energy without anion corrections   -1.77 eV per atom
E   -6.03 eV per atom
Crystal system   monoclinic

***

Entry 2:
The following is a PBE-GGA calculation of an optimized crystal structure of NbInPt, from Alexandria via LeMat-Bulk.

Lattice parameters (Å, degrees): 3.0395 3.0395 6.2963 103.97 103.97 90.00
Positions (direct):
Pt 0.6603 0.6603 0.3206
Nb 0.0103 0.0103 0.0206
In 0.3294 0.3294 0.6587

Calculated values
DFT formation energy   -0.347 eV/atom
DOS(E_F)   1.266 states/eV/cell
E   -6.63 eV per atom
Crystal system   tetragonal

***

Entry 3:
The following is a PBE-GGA calculation of an optimized crystal structure of La4SnPb2, from Alexandria via LeMat-Bulk.

Lattice parameters (Å, degrees): 5.7257 6.8489 6.8490 113.81 90.00 90.00
Positions (direct):
Sn 0.0000 0.1427 0.1427
La 0.5000 0.9113 0.9113
Pb 0.5000 0.8749 0.4108
Pb 0.5000 0.4108 0.8750
La 0.5000 0.3732 0.3732
La 0.0000 0.6434 0.1437
La 0.0000 0.1436 0.6434

Calculated values
DFT formation energy   -0.545 eV/atom
DOS(E_F)   4.610 states/eV/cell
E   -4.99 eV per atom
Energy relative to the lowest polymorph listed for this composition   0.0 meV per atom
Crystal system   orthorhombic

***

Entry 4:
The following is a PBE-GGA calculation of an optimized crystal structure of Th4HgTe3, from Alexandria via LeMat-Bulk.

Lattice parameters (Å, degrees): 3.7970 3.7970 15.8245 90.00 90.00 90.00
Positions (direct):
Th 0.0000 0.0000 0.1269
Th 0.0000 0.0000 0.6235
Te 0.5000 0.5000 0.5000
Hg 0.5000 0.5000 0.0000
Te 0.5000 0.5000 0.7444
Th 0.0000 0.0000 0.8731
Th 0.0000 0.0000 0.3765
Te 0.5000 0.5000 0.2556

Calculated values
DOS(E_F)   6.409 states/eV/cell
Formation energy without anion corrections   -0.84 eV per atom
E   -5.76 eV per atom
Crystal system   tetragonal

***

Entry 5:
The following is a PBE-GGA calculation of an optimized crystal structure of Zr4GaTc3, from Alexandria via LeMat-Bulk.

Lattice parameters (Å, degrees): 3.3576 4.6547 9.2985 90.00 90.00 90.00
Positions (direct):
Zr 0.0000 0.0000 0.5000
Tc 0.5000 0.0000 0.7545
Zr 0.0000 0.5000 0.2575
Zr 0.0000 0.0000 0.0000
Tc 0.5000 0.5000 0.5000
Ga 0.5000 0.5000 0.0000
Zr 0.0000 0.5000 0.7425
Tc 0.5000 0.0000 0.2455

Calculated values
DFT formation energy   -0.435 eV/atom
DOS(E_F)   6.363 states/eV/cell
E   -8.97 eV per atom
Crystal system   orthorhombic

***

Entry 6:
The following is a PBE-GGA calculation of an optimized crystal structure of BaBi2Br2O2, from Alexandria via LeMat-Bulk.

Lattice parameters (Å, degrees): 11.2461 11.2461 11.2461 158.68 158.68 30.33
Positions (direct):
Bi 0.0040 0.0040 0.0000
Br 0.2054 0.2054 0.0000
Bi 0.3948 0.3948 0.0000
Br 0.8131 0.8131 0.0000
Ba 0.6540 0.6540 0.0000
O 0.9458 0.4458 0.5000
O 0.4458 0.9458 0.5000

Calculated values
DOS(E_F)   4.305 states/eV/cell
Formation energy without anion corrections   -1.09 eV per atom
E   -4.37 eV per atom
Crystal system   tetragonal

***

Entry 7:
The following is a PBE-GGA calculation of an optimized crystal structure of HoErHgOs, from Alexandria via LeMat-Bulk.

Lattice parameters (Å, degrees): 3.4335 3.4335 7.5863 90.00 90.00 90.00
Positions (direct):
Ho 0.5000 0.5000 0.7885
Hg 0.0000 0.0000 0.0728
Er 0.5000 0.5000 0.3536
Os 0.0000 0.0000 0.5698

Calculated values
DFT formation energy   -0.411 eV/atom
DOS(E_F)   2.994 states/eV/cell
E   -5.58 eV per atom
Energy relative to the lowest polymorph listed for this composition   0.0 meV per atom
Crystal system   tetragonal

***

Entry 8:
The following is a PBE-GGA calculation of an optimized crystal structure of Ba2TlBr, from Alexandria via LeMat-Bulk.

Lattice parameters (Å, degrees): 8.9134 8.9134 7.9200 55.76 55.76 90.00
Positions (direct):
Tl 0.0000 0.0000 0.0000
Ba 0.6078 0.1250 0.2500
Br 0.5000 0.5000 0.0000
Br 0.2500 0.7500 0.5000
Ba 0.3750 0.3922 0.7500
Ba 0.8750 0.8578 0.7500
Ba 0.1422 0.6250 0.2500
Tl 0.7500 0.2500 0.5000

Calculated values
DOS(E_F)   2.171 states/eV/cell
Formation energy without anion corrections   -0.81 eV per atom
E   -2.78 eV per atom
Energy relative to the lowest polymorph listed for this composition   178.4 meV per atom
Crystal system   tetragonal

***

Entry 9:
The following is a PBE-GGA calculation of an optimized crystal structure of HoSi2IrRh2, from Alexandria via LeMat-Bulk.

Lattice parameters (Å, degrees): 4.4792 4.4792 5.5154 90.00 90.00 90.00
Positions (direct):
Ho 0.0000 0.0000 0.5000
Rh 0.5000 0.5000 0.7490
Rh 0.5000 0.5000 0.2510
Ir 0.0000 0.0000 0.0000
Si 0.0000 0.5000 0.0000
Si 0.5000 0.0000 0.0000

Calculated values
DOS(E_F)   4.286 states/eV/cell
Formation energy without anion corrections   -0.36 eV per atom
E   -6.85 eV per atom
Crystal system   tetragonal

***

Entry 10:
The following is a PBE-GGA calculation of an optimized crystal structure of CeCd2In, from Alexandria via LeMat-Bulk.

Lattice parameters (Å, degrees): 3.7322 3.7322 7.4736 90.00 90.00 90.00
Last column: magnetic moment on the atom in μB.
Positions (direct):
In 0.5000 0.5000 0.0000  0.01
Ce 0.5000 0.5000 0.5000  1.04
Cd 0.0000 0.0000 0.2284  0.00
Cd 0.0000 0.0000 0.7716  0.00

Calculated values
DFT formation energy   -0.116 eV/atom
DOS(E_F)   7.590 states/eV/cell
E   -2.74 eV per atom
Crystal system   tetragonal

***

Entry 11:
The following is a PBE-GGA calculation of an optimized crystal structure of Zr2NpS6, from Alexandria via LeMat-Bulk.

Lattice parameters (Å, degrees): 4.7537 6.9710 7.5958 73.94 71.76 70.06
Last column: magnetic moment on the atom in μB.
Positions (direct):
S 0.0360 0.1426 0.7854  -0.04
Zr 0.8227 0.2406 0.1139  0.01
S 0.6306 0.2890 0.4498  -0.10
S 0.2483 0.3764 0.1270  -0.03
S 0.9640 0.8574 0.2146  -0.04
Zr 0.1773 0.7594 0.8861  0.01
S 0.7517 0.6236 0.8730  -0.03
Np 0.0000 0.5000 0.5000  3.32
S 0.3694 0.7110 0.5502  -0.10

Calculated values
DOS(E_F)   8.582 states/eV/cell
Formation energy without anion corrections   -1.31 eV per atom
E   -7.40 eV per atom
Crystal system   monoclinic

***

Entry 12:
The following is a PBE-GGA calculation of an optimized crystal structure of Rb3Cd2Sn5, from Alexandria via LeMat-Bulk.

Lattice parameters (Å, degrees): 7.7983 10.5884 10.5884 67.90 68.39 68.39
Positions (direct):
Cd 0.8395 0.3088 0.0123
Sn 0.0049 0.2451 0.2451
Rb 0.3758 0.3930 0.8554
Sn 0.7500 0.5000 0.5000
Cd 0.1605 0.6912 0.9877
Rb 0.1242 0.1446 0.6070
Rb 0.7500 0.0000 0.0000
Rb 0.2500 0.0000 0.0000
Cd 0.6605 0.9877 0.6912
Rb 0.8758 0.8554 0.3930
Sn 0.3736 0.7398 0.5131
Cd 0.3395 0.0123 0.3088
Sn 0.1264 0.4869 0.2602
Rb 0.6242 0.6070 0.1446
Sn 0.6264 0.2602 0.4869
Sn 0.9951 0.7549 0.7549
Sn 0.2500 0.5000 0.5000
Sn 0.4951 0.7549 0.7549
Sn 0.8736 0.5131 0.7398
Sn 0.5049 0.2451 0.2451

Calculated values
DFT formation energy   -0.097 eV/atom
DOS(E_F)   7.165 states/eV/cell
E   -2.57 eV per atom
Crystal system   orthorhombic

***

Entry 13:
The following is a PBE-GGA calculation of an optimized crystal structure of Cd2Sb2Pd3, from Alexandria via LeMat-Bulk.

Lattice parameters (Å, degrees): 4.6962 4.6635 7.9872 89.73 107.34 120.20
Positions (direct):
Cd 0.2671 0.1324 0.4017
Pd 0.5196 0.2605 0.7776
Sb 0.2304 0.6137 0.8452
Sb 0.7696 0.3863 0.1548
Pd 0.0000 0.0000 0.0000
Pd 0.4804 0.7395 0.2224
Cd 0.7329 0.8676 0.5983

Calculated values
DOS(E_F)   3.006 states/eV/cell
Formation energy without anion corrections   -0.32 eV per atom
E   -3.98 eV per atom
Crystal system   triclinic

***

Entry 14:
The following is a PBE-GGA calculation of an optimized crystal structure of AlFeCl, from Alexandria via LeMat-Bulk.

Lattice parameters (Å, degrees): 4.2180 4.2180 2.9515 90.00 90.00 120.00
Last column: magnetic moment on the atom in μB.
Positions (direct):
Al 0.0000 0.0000 0.0002  -0.06
Fe 0.6667 0.3333 0.4996  2.25
Cl 0.3333 0.6667 0.5002  0.01

Calculated values
DOS(E_F)   2.274 states/eV/cell
Formation energy without anion corrections   0.28 eV per atom
E   -4.40 eV per atom
Energy relative to the lowest polymorph listed for this composition   309.8 meV per atom
Crystal system   hexagonal

***

Entry 15:
The following is a PBE-GGA calculation of an optimized crystal structure of SmTmBr3, from Alexandria via LeMat-Bulk.

Lattice parameters (Å, degrees): 3.8921 9.5150 10.0802 72.50 78.87 78.20
Positions (direct):
Br 0.6664 0.1757 0.4916
Br 0.0333 0.6834 0.2500
Br 0.3336 0.8243 0.5084
Sm 0.1371 0.0102 0.7157
Br 0.9667 0.3166 0.7500
Tm 0.4309 0.1792 0.9591
Tm 0.5691 0.8208 0.0409
Br 0.2083 0.6984 0.8849
Sm 0.8629 0.9898 0.2843
Br 0.7917 0.3016 0.1151

Calculated values
Formation energy without anion corrections   -1.50 eV per atom
E   -4.34 eV per atom
Crystal system   monoclinic

***

Entry 16:
The following is a PBE-GGA calculation of an optimized crystal structure of PmPuCo5, from Alexandria via LeMat-Bulk.

Lattice parameters (Å, degrees): 4.9301 8.3863 10.3486 90.00 90.00 90.00
Last column: magnetic moment on the atom in μB.
Positions (direct):
Co 0.2500 0.4502 0.3902  -0.95
Co 0.7500 0.8118 0.7384  -1.38
Co 0.2500 0.5639 0.0132  -1.34
Co 0.5027 0.0699 0.6878  -1.32
Co 0.2500 0.0639 0.4868  -1.34
Co 0.7500 0.9361 0.5132  -1.34
Co 0.2500 0.9502 0.1098  -0.95
Pm 0.2500 0.7539 0.5673  0.22
Pm 0.7500 0.7461 0.0673  0.22
Co 0.7500 0.3118 0.7616  -1.38
Co 0.2500 0.6882 0.2384  -1.38
Co 0.2500 0.1882 0.2616  -1.38
Co 0.7500 0.5498 0.6098  -0.95
Pm 0.7500 0.2461 0.4327  0.22
Pu 0.2500 0.8704 0.8740  5.09
Pu 0.7500 0.1296 0.1260  5.09
Co 0.7500 0.4361 0.9868  -1.34
Co 0.4973 0.9301 0.3122  -1.32
Co 0.0027 0.9301 0.3122  -1.32
Co 0.7500 0.0498 0.8902  -0.95
Co 0.9973 0.0699 0.6878  -1.32
Pu 0.2500 0.3704 0.6260  5.09
Pu 0.7500 0.6296 0.3740  5.09
Co 0.0027 0.4301 0.1878  -1.32
Co 0.9973 0.5699 0.8122  -1.32
Co 0.4973 0.4301 0.1878  -1.32
Co 0.5027 0.5699 0.8122  -1.32
Pm 0.2500 0.2539 0.9327  0.22

Calculated values
DFT formation energy   -0.075 eV/atom
DOS(E_F)   38.504 states/eV/cell
E   -7.88 eV per atom
Crystal system   orthorhombic

***

Entry 17:
The following is a PBE-GGA calculation of an optimized crystal structure of KNaHgSe2, from Alexandria via LeMat-Bulk.

Lattice parameters (Å, degrees): 5.8924 7.5284 7.8930 100.99 90.00 90.00
Positions (direct):
Hg 0.0000 0.0000 0.0000
Na 0.5048 0.0000 0.7500
Se 0.2802 0.2484 0.0462
Se 0.7198 0.2484 0.5462
Se 0.2802 0.7516 0.4538
Se 0.7198 0.7516 0.9538
Hg 0.0000 0.0000 0.5000
K 0.8366 0.5000 0.2500
K 0.1635 0.5000 0.7500
Na 0.4952 0.0000 0.2500

Calculated values
DOS(E_F)   0.000 states/eV/cell
Formation energy without anion corrections   -0.81 eV per atom
E   -2.75 eV per atom
Crystal system   monoclinic

***

Entry 18:
The following is a PBE-GGA calculation of an optimized crystal structure of Sr3LiRh, from Alexandria via LeMat-Bulk.

Lattice parameters (Å, degrees): 20.7011 10.7449 10.7449 118.50 143.49 36.51
Positions (direct):
Sr 0.9231 0.1864 0.6297
Sr 0.4788 0.9996 0.7867
Sr 0.4486 0.4370 0.0287
Sr 0.5514 0.5630 0.9713
Sr 0.5769 0.1297 0.6864
Sr 0.0514 0.5287 0.9370
Li 0.2500 0.8859 0.3859
Sr 0.4231 0.8703 0.3136
Sr 0.9788 0.7133 0.5004
Li 0.2500 0.6254 0.1254
Li 0.7500 0.1141 0.6141
Sr 0.5212 0.0004 0.2133
Sr 0.0212 0.2867 0.4996
Rh 0.7467 0.6679 0.5990
Rh 0.2467 0.9010 0.8321
Li 0.7500 0.3746 0.8746
Sr 0.0769 0.8136 0.3703
Rh 0.2533 0.3321 0.4010
Rh 0.7533 0.0990 0.1679
Sr 0.9486 0.4713 0.0630

Calculated values
DFT formation energy   -0.071 eV/atom
DOS(E_F)   10.301 states/eV/cell
E   -2.93 eV per atom
Energy relative to the lowest polymorph listed for this composition   76.3 meV per atom
Crystal system   monoclinic

***

Entry 19:
The following is a PBE-GGA calculation of an optimized crystal structure of BaCl, from Alexandria via LeMat-Bulk.

Lattice parameters (Å, degrees): 6.2865 6.2865 4.6306 90.00 90.00 90.00
Positions (direct):
Cl 0.2500 0.2500 0.0004
Ba 0.7500 0.2500 0.0000
Ba 0.2500 0.7500 0.0000
Cl 0.7500 0.7500 0.9996

Calculated values
DOS(E_F)   3.267 states/eV/cell
Formation energy without anion corrections   -1.64 eV per atom
E   -3.52 eV per atom
Crystal system   tetragonal

***

Entry 20:
The following is a PBE-GGA calculation of an optimized crystal structure of Nb3MoPt, from Alexandria via LeMat-Bulk.

Lattice parameters (Å, degrees): 4.7469 4.7469 4.7469 90.00 90.00 90.00
Positions (direct):
Pt 0.5000 0.5000 0.5000
Nb 0.0000 0.5000 0.0000
Mo 0.0000 0.0000 0.0000
Nb 0.5000 0.0000 0.0000
Nb 0.0000 0.0000 0.5000

Calculated values
DFT formation energy   1.206 eV/atom
DOS(E_F)   5.756 states/eV/cell
E   -8.21 eV per atom
Energy relative to the lowest polymorph listed for this composition   0.0 meV per atom
Crystal system   cubic